Entry from the Alexandria database: a relaxed NaY2MnO5 crystal (GGA+U).

Calculated values
Symmetry = P4/mbm, No. 127
D(E_F) = 0.0 states/eV/cell
VASP energy = -7.734 eV/atom
Crystal system = tetragonal

POSCAR file:
```
NaY2MnO5
1.0
-1.2701 3.9629 -3.9163
-6.3267 -1.0675 0.9716
-0.0578 4.5518 4.6247
Na Y Mn O
2 4 2 10
direct
0.0000 0.5000 0.5000
0.0000 0.0000 0.0000
0.5000 0.6778 0.1778
0.5000 0.1778 0.3222
0.5000 0.8222 0.6778
0.5000 0.3222 0.8222
0.0000 0.0000 0.5000
0.0000 0.5000 0.0000
0.5000 0.5000 0.5000
0.5000 0.0000 0.0000
0.2445 0.1380 0.6380
0.2445 0.8620 0.3620
0.2445 0.3620 0.1380
0.2445 0.6380 0.8620
0.7555 0.1380 0.6380
0.7555 0.6380 0.8620
0.7555 0.8620 0.3620
0.7555 0.3620 0.1380
```